[1]
Compound: CsAlIBr2
Source: the Alexandria database
Functional: PBE
Structure: optimized geometry

Output
* crystal system: tetragonal
* formation energy without anion corrections: -1.06 eV/atom

abc: 5.5297 5.5297 5.8058
angles: 90.00 90.00 90.00
Last column: nearest neighbours and their distance in Å.
Space group P4/mmm (No. 123)
Inequivalent atoms, fractional coordinates:
Cs: 0.0000 0.0000 0.0000  4 I 3.91, 8 Br 4.01
Al: 0.5000 0.5000 0.5000  4 Br 2.76, 2 I 2.90
I: 0.5000 0.5000 0.0000  2 Al 2.90
Br: 0.0000 0.5000 0.5000  2 Al 2.76

---

[2]
Compound: Ce2PrOs2
Source: the Alexandria database
Functional: PBE
Structure: optimized geometry

Output
* crystal system: monoclinic
* relative energy among the computed polymorphs: 0 meV per atom

abc: 12.2926 4.1983 10.6220
angles: 90.00 117.14 90.00
Last column: nearest neighbours and their distance in Å.
Space group C2/m (No. 12)
Inequivalent atoms, fractional coordinates:
Ce: 0.0527 0.0000 0.2091  4 Os 2.78-3.07
Ce: 0.1792 0.0000 0.5863  2 Os 2.67
Pr: 0.1899 0.5000 0.8528  4 Os 2.98-3.17
Os: 0.0639 0.5000 0.4251  2 Ce 2.67, 1 Os 2.70
Os: 0.1173 0.5000 0.0851  1 Os 2.61, 2 Ce 2.78

---

[3]
Compound: CdGaPb
Source: the Alexandria database
Functional: PBE
Structure: optimized geometry

Output
* crystal system: triclinic
* relative energy among the computed polymorphs: 54 meV per atom

abc: 4.5515 4.5588 8.8470
angles: 89.99 89.99 60.23
Last column: nearest neighbours and their distance in Å.
Space group P-1 (No. 2)
Inequivalent atoms, fractional coordinates:
Cd: 0.0004 0.0023 0.1991  6 Ga 3.01-3.35, 3 Pb 3.14
Ga: 0.3333 0.3330 0.9668  3 Ga 2.70, 3 Cd 3.01-3.02
Pb: 0.3332 0.3326 0.6067  3 Cd 3.14, 1 Ga 3.19, 3 Pb 3.24

---

[4]
Compound: CaLaPr6Sm2
Source: the Alexandria database
Functional: PBE
Structure: optimized geometry

Output
* crystal system: monoclinic
* calculated total energy: -175.662 eV per cell

abc: 9.3936 15.8389 9.9458
angles: 90.00 96.87 90.00
Last column: nearest neighbours and their distance in Å.
Space group C2/c (No. 15)
Inequivalent atoms, fractional coordinates:
Ca: 0.0000 0.0277 0.2500  4 Sm 3.52-3.53, 4 Pr 3.80-3.89
La: 0.0000 0.4060 0.7500  8 Pr 3.59-4.02, 2 Sm 3.77
Pr: 0.0615 0.1847 0.9455  7 Pr 3.52-3.92, 1 Sm 3.56, 1 Ca 3.89
Pr: 0.1037 0.3950 0.1189  3 Pr 3.33-3.52, 3 Sm 3.40-3.57, 2 La 3.59-3.69
Pr: 0.2071 0.2325 0.3200  4 Pr 3.33-3.71, 2 Sm 3.58-3.64, 1 La 3.65
Sm: 0.2466 0.0546 0.5441  6 Pr 3.40-3.64, 2 Ca 3.52-3.53, 1 La 3.77

---

[5]
Compound: Pr4H2O
Source: the Alexandria database
Functional: PBE
Structure: optimized geometry

Output
* crystal system: tetragonal
* calculated total energy: -73.766 eV per cell

abc: 4.9460 4.9460 11.9369
angles: 90.00 90.00 90.00
Last column: nearest neighbours and their distance in Å.
Space group I4/mmm (No. 139)
Inequivalent atoms, fractional coordinates:
Pr: 0.0000 0.0000 0.2282  1 H 2.30
Pr: 0.0000 0.5000 0.0000  2 O 2.47, 4 H 2.65
H: 0.0000 0.0000 0.4208  1 H 1.89
O: 0.0000 0.0000 0.0000  6 Pr 2.47-2.72

---

[6]
Compound: CePm12Pb7
Source: the Alexandria database
Functional: PBE
Structure: optimized geometry

Output
* crystal system: trigonal
* calculated total energy: -284.078 eV per cell

abc: 15.9261 15.9261 8.9821
angles: 90.00 90.00 120.00
Last column: nearest neighbours and their distance in Å.
Space group R-3m (No. 166, hexagonal axes)
Inequivalent atoms, fractional coordinates:
Ce: 0.0000 0.0000 0.0000  6 Pb 3.57
Pm: 0.0000 0.2756 0.0000  4 Pb 3.22-3.47, 2 Pm 3.39
Pm: 0.1102 0.5551 0.0500  1 Pm 3.17, 4 Pb 3.24-3.40
Pb: 0.0000 0.0000 0.5000  6 Pm 3.25
Pb: 0.1032 0.2064 0.7608  7 Pm 3.22-3.47, 1 Ce 3.57

---

[7]
Compound: NbSeS3
Source: the Alexandria database
Functional: PBE
Structure: optimized geometry

Output
* crystal system: cubic
* formation energy without anion corrections: 0.79 eV/atom
* relative energy among the computed polymorphs: 683 meV per atom

abc: 4.6802 4.6802 4.6802
angles: 90.00 90.00 90.00
Last column: nearest neighbours and their distance in Å.
Space group Pm-3m (No. 221)
Inequivalent atoms, fractional coordinates:
Nb: 0.0000 0.0000 0.0000  12 S 3.31
Se: 0.5000 0.5000 0.5000  6 S 2.34
S: 0.0000 0.5000 0.5000  2 Se 2.34

---

[8]
Compound: Cd2AuSe
Source: the Alexandria database
Functional: PBE
Structure: optimized geometry

Output
* crystal system: orthorhombic
* formation energy without anion corrections: -0.05 eV/atom

abc: 4.2424 6.3078 7.2480
angles: 90.00 90.00 90.00
Last column: nearest neighbours and their distance in Å.
Space group Immm (No. 71)
Inequivalent atoms, fractional coordinates:
Cd: 0.0000 0.0000 0.2446  2 Au 2.76, 2 Se 2.82
Au: 0.0000 0.5000 0.5000  4 Cd 2.76
Se: 0.0000 0.5000 0.0000  4 Cd 2.82